Entry 1:
! TbSm4Er5 | the Alexandria database | PBE | optimized geometry; values from VASP
! * energy of formation from the pure elements: 1.92 eV per formula unit
! * space group: C2/m (12)
! * E_tot: -4.440 eV per atom
! * energy relative to the lowest polymorph listed for this composition: 0 meV/atom
&SYSTEM
  ibrav = 0, nat = 10, ntyp = 3
/
ATOMIC_SPECIES
Sm 150.36 Sm.upf
Er 167.26 Er.upf
Tb 158.93 Tb.upf
CELL_PARAMETERS angstrom
-2.800 -1.276 1.701
-0.484 -8.479 -7.158
6.551 -3.918 4.222
ATOMIC_POSITIONS angstrom
Sm -0.047 -6.630 -5.054
Sm 3.315 -7.043 3.819
Sm 0.079 -4.171 0.636
Sm 3.189 -9.502 -1.872
Er 1.746 -7.428 0.944
Er -1.642 -4.878 -2.729
Er 1.522 -6.245 -2.179
Er 1.335 -9.626 -5.023
Er 1.932 -4.047 3.788
Tb -1.400 -0.638 0.851

Entry 2:
! LaIn3Ni3 | the Alexandria database | PBE | optimized geometry; values from VASP
! * energy of formation from the pure elements: 1.12 eV per formula unit
! * space group: Pm-3n (223)
! * E_tot: -4.195 eV per atom
&SYSTEM
  ibrav = 0, nat = 14, ntyp = 3
/
ATOMIC_SPECIES
In 114.82 In.upf
Ni 58.69 Ni.upf
La 138.91 La.upf
CELL_PARAMETERS angstrom
6.949 0.000 0.000
0.000 6.949 0.000
0.000 0.000 6.949
ATOMIC_POSITIONS angstrom
In 5.212 3.475 0.000
In 3.475 0.000 1.737
In 1.737 3.475 0.000
In 3.475 0.000 5.212
In 0.000 1.737 3.475
In 0.000 5.212 3.475
Ni 3.475 1.737 0.000
Ni 0.000 3.475 1.737
Ni 1.737 0.000 3.475
Ni 0.000 3.475 5.212
Ni 5.212 0.000 3.475
Ni 3.475 5.212 0.000
La 3.475 3.475 3.475
La 0.000 0.000 0.000

Entry 3:
! PrSm2ErS4 | the Alexandria database | PBE | optimized geometry; values from VASP
! * E_form (uncorrected): -16.0 eV/f.u.
! * space group: P2/m (10)
! * E_tot: -6.406 eV per atom
&SYSTEM
  ibrav = 0, nat = 8, ntyp = 4
/
ATOMIC_SPECIES
S 32.06 S.upf
Sm 150.36 Sm.upf
Er 167.26 Er.upf
Pr 140.91 Pr.upf
CELL_PARAMETERS angstrom
3.953 0.000 0.000
0.000 7.005 0.172
0.000 -2.396 6.480
ATOMIC_POSITIONS angstrom
S 0.000 0.028 4.954
S 1.976 1.229 1.670
S 1.976 3.381 4.982
S 0.000 4.581 1.698
Sm 1.976 -1.198 3.240
Sm 0.000 2.305 3.326
Er 1.976 3.503 0.086
Pr 0.000 0.000 0.000

Entry 4:
! Sc2InBr | the Alexandria database | PBE | optimized geometry; values from VASP
! * E_form (uncorrected): -2.2 eV/f.u.
! * space group: Pmmm (47)
! * E_tot: -4.815 eV per atom
! * energy relative to the lowest polymorph listed for this composition: 64 meV/atom
&SYSTEM
  ibrav = 0, nat = 4, ntyp = 3
/
ATOMIC_SPECIES
Sc 44.96 Sc.upf
Br 79.90 Br.upf
In 114.82 In.upf
CELL_PARAMETERS angstrom
-0.969 -0.335 3.342
-1.108 -4.509 -0.774
5.375 -1.562 1.402
ATOMIC_POSITIONS angstrom
Sc 4.706 -1.367 1.228
Sc 0.975 -3.007 1.809
Br 2.016 -0.586 0.526
In 3.663 -3.788 2.511

Which value of E_tot does entry 4 give? -4.815 eV per atom

The lowest E_tot belongs to which entry? PrSm2ErS4

Look up the E_tot of the fourth one. -4.815 eV per atom

Which of these has the highest E_tot? LaIn3Ni3